[1]
Compound: Sc5Mn4
Source: Alexandria
Functional: PBE-GGA
Structure: optimized geometry

Unit cell a=8.1118 b=8.1118 c=5.8546 alpha=90.00 beta=90.00 gamma=60.00
Last column: magnetic moment on the atom in μB.
Sites, in units of the cell vectors:
Sc (0.3023, 0.6977, 0.2500)  -0.38
Sc (0.0000, 0.3023, 0.2500)  -0.38
Sc (0.6977, 0.0000, 0.2500)  -0.38
Sc (0.6977, 0.3023, 0.7500)  -0.38
Sc (0.0000, 0.6977, 0.7500)  -0.38
Sc (0.3023, 0.0000, 0.7500)  -0.38
Sc (0.3333, 0.3333, 0.0000)  -0.46
Sc (0.6667, 0.6667, 0.5000)  -0.46
Sc (0.6667, 0.6667, 0.0000)  -0.46
Sc (0.3333, 0.3333, 0.5000)  -0.46
Mn (0.0000, 0.0000, 0.0000)  3.21
Mn (0.0000, 0.0000, 0.5000)  3.21
Mn (0.6504, 0.3496, 0.2500)  2.96
Mn (0.0000, 0.6504, 0.2500)  2.96
Mn (0.3496, 0.0000, 0.2500)  2.96
Mn (0.3496, 0.6504, 0.7500)  2.96
Mn (0.0000, 0.3496, 0.7500)  2.96
Mn (0.6504, 0.0000, 0.7500)  2.96

Calculated values
Symmetry: No. 193
Formation enthalpy at 0 K (eV per atom): 0.104
Distance to the lowest polymorph of the same formula (meV per atom): 0

=====

[2]
Compound: NaMgScCl6
Source: Alexandria
Functional: PBE-GGA
Structure: optimized geometry

Unit cell a=6.4903 b=6.4903 c=12.4922 alpha=90.00 beta=90.00 gamma=120.00
Sites, in units of the cell vectors:
Na (0.0000, 0.0000, 0.0000)
Na (0.0000, 0.0000, 0.5000)
Mg (0.3333, 0.6667, 0.2500)
Mg (0.6667, 0.3333, 0.7500)
Sc (0.6667, 0.3333, 0.2500)
Sc (0.3333, 0.6667, 0.7500)
Cl (0.6390, 0.6373, 0.1365)
Cl (0.9983, 0.3610, 0.1365)
Cl (0.3610, 0.9983, 0.6365)
Cl (0.0017, 0.6390, 0.8635)
Cl (0.3627, 0.3610, 0.3635)
Cl (0.9983, 0.6373, 0.3635)
Cl (0.6373, 0.9983, 0.8635)
Cl (0.6390, 0.0017, 0.3635)
Cl (0.0017, 0.3627, 0.6365)
Cl (0.3627, 0.0017, 0.1365)
Cl (0.6373, 0.6390, 0.6365)
Cl (0.3610, 0.3627, 0.8635)

Calculated values
Symmetry: No. 163
Raw formation energy (eV/atom): -1.97

=====

[3]
Compound: RbScTe3
Source: Alexandria
Functional: PBE-GGA
Structure: optimized geometry

Unit cell a=5.6731 b=5.6731 c=5.6731 alpha=90.00 beta=90.00 gamma=90.00
Sites, in units of the cell vectors:
Sc (0.0000, 0.0000, 0.0000)
Te (0.0000, 0.5000, 0.0000)
Te (0.0000, 0.0000, 0.5000)
Te (0.5000, 0.0000, 0.0000)
Rb (0.5000, 0.5000, 0.5000)

Calculated values
Symmetry: No. 221
Raw formation energy (eV/atom): -0.79
Distance to the lowest polymorph of the same formula (meV per atom): 0

=====

[4]
Compound: La8C3Br3N
Source: Alexandria
Functional: PBE-GGA
Structure: optimized geometry

Unit cell a=7.6731 b=7.6895 c=8.8268 alpha=115.90 beta=89.99 gamma=119.97
Last column: magnetic moment on the atom in μB.
Sites, in units of the cell vectors:
La (0.2710, 0.5421, 0.3134)  0.00
La (0.7290, 0.4579, 0.6866)  0.00
La (0.7723, 0.5447, 0.3157)  0.05
La (0.2277, 0.4553, 0.6843)  0.05
La (0.7723, 0.0431, 0.3157)  0.05
La (0.2277, 0.9569, 0.6843)  0.05
La (0.2707, 0.0430, 0.3157)  0.05
La (0.7293, 0.9570, 0.6843)  0.05
C (0.5000, 0.0000, 0.5000)  -0.01
C (0.5000, 0.5000, 0.5000)  -0.01
C (0.0000, 0.5000, 0.5000)  -0.01
Br (0.0000, 0.0000, 0.0000)  0.01
Br (0.0000, 0.5000, 0.0000)  0.01
Br (0.5000, 0.5000, 0.0000)  0.01
N (0.0000, 0.0000, 0.5000)  0.01

Calculated values
Symmetry: No. 12
Raw formation energy (eV/atom): -0.88